[1]
Compound: Na3Ac2NdSe6
Source: Alexandria via LeMat-Bulk
Functional: PBE
Structure: optimized geometry

Summary:
Formation energy from raw total energies: -20.49 eV/f.u.
Raw total energy: -4.862 eV/atom
Total magnetization: 0.00 μB per atom

Cell: 9.767 9.767 8.695 Å, 101.03 101.03 26.28°
Fractional positions:
1 Na 0.000 0.000 0.000
2 Na 0.336 0.336 0.669
3 Na 0.664 0.664 0.331
4 Ac 0.335 0.335 0.172
5 Ac 0.665 0.665 0.828
6 Nd 0.000 0.000 0.500
7 Se 0.161 0.161 0.578
8 Se 0.167 0.167 0.080
9 Se 0.500 0.500 0.266
10 Se 0.500 0.500 0.734
11 Se 0.833 0.833 0.920
12 Se 0.839 0.839 0.422



[2]
Compound: Na3AcNd2Se6
Source: Alexandria via LeMat-Bulk
Functional: PBE
Structure: optimized geometry

Summary:
Formation energy from raw total energies: -20.33 eV/f.u.
Raw total energy: -4.903 eV/atom
Total magnetization: 0.00 μB per atom

Cell: 7.565 7.565 7.450 Å, 99.74 99.74 120.02°
Fractional positions:
1 Na 0.000 0.000 0.000
2 Na 0.333 0.667 0.000
3 Na 0.667 0.333 0.000
4 Ac 0.500 0.500 0.500
5 Nd 0.167 0.833 0.500
6 Nd 0.833 0.167 0.500
7 Se 0.076 0.421 0.262
8 Se 0.236 0.236 0.740
9 Se 0.421 0.076 0.262
10 Se 0.579 0.924 0.738
11 Se 0.764 0.764 0.260
12 Se 0.924 0.579 0.738



[3]
Compound: NaAcNdSe3
Source: Alexandria via LeMat-Bulk
Functional: PBE
Structure: optimized geometry

Summary:
Formation energy from raw total energies: -9.60 eV/f.u.
Raw total energy: -5.041 eV/atom
Total magnetization: 0.00 μB per atom

Cell: 8.780 4.290 9.507 Å, 90.00 105.31 90.00°
Fractional positions:
1 Na 0.098 0.250 0.088
2 Na 0.902 0.750 0.912
3 Ac 0.199 0.250 0.727
4 Ac 0.801 0.750 0.273
5 Nd 0.337 0.750 0.350
6 Nd 0.663 0.250 0.650
7 Se 0.095 0.250 0.377
8 Se 0.243 0.750 0.993
9 Se 0.438 0.750 0.674
10 Se 0.562 0.250 0.326
11 Se 0.757 0.250 0.007
12 Se 0.905 0.750 0.623



[4]
Compound: NaAcNd2Se4
Source: Alexandria via LeMat-Bulk
Functional: PBE
Structure: optimized geometry

Summary:
Formation energy from raw total energies: -14.22 eV/f.u.
Raw total energy: -5.390 eV/atom
Total magnetization: 0.00 μB per atom

Cell: 7.380 4.284 7.582 Å, 90.00 108.98 90.00°
Fractional positions:
1 Na 0.000 0.000 0.000
2 Ac 0.500 0.500 0.000
3 Nd 0.000 0.500 0.500
4 Nd 0.500 0.000 0.500
5 Se 0.240 0.000 0.741
6 Se 0.250 0.500 0.259
7 Se 0.750 0.500 0.741
8 Se 0.760 0.000 0.259